(1)
Compound: ZrAl2Rh
Source: Alexandria via LeMat-Bulk
Functional: PBE-GGA
Structure: relaxed

Total DFT energy (no corrections) = -6.61 eV/atom
Energy of formation = -0.76 eV/atom
SG = P4/mmm, No. 123
Magnetization = 0.00 μB/cell

a = 3.0400 Å, b = 3.0400 Å, c = 7.0763 Å
α = 90.00°, β = 90.00°, γ = 90.00°
Atoms (fractional coordinates):
Zr1 0.0000 0.0000 0.0000
Al1 0.5000 0.5000 0.2934
Al2 0.5000 0.5000 0.7066
Rh1 0.0000 0.0000 0.5000

***

(2)
Compound: ZrAlRh2
Source: Alexandria via LeMat-Bulk
Functional: PBE-GGA
Structure: relaxed

Total DFT energy (no corrections) = -7.28 eV/atom
Energy of formation = -0.53 eV/atom
SG = R-3m, No. 166
Magnetization = 0.00 μB/cell

a = 8.2435 Å, b = 8.2435 Å, c = 8.2435 Å
α = 21.50°, β = 21.50°, γ = 21.50°
Atoms (fractional coordinates):
Zr1 0.0000 0.0000 0.0000
Al1 0.5000 0.5000 0.5000
Rh1 0.2433 0.2433 0.2433
Rh2 0.7567 0.7567 0.7567